# 1
First-principles (PBE) data for a geometry-optimized Nd6AlCd2 structure, as listed in the Alexandria database.

Lattice parameters (Å, degrees): 9.0051 9.0051 9.0051 112.09 108.75 107.61
Atoms (fractional coordinates):
1 Nd 0.0626 0.2401 0.8225
2 Nd 0.2401 0.5663 0.3261
3 Nd 0.2401 0.9140 0.6739
4 Nd 0.3057 0.2431 0.5488
5 Nd 0.3057 0.7569 0.0625
6 Nd 0.4175 0.2401 0.1775
7 Nd 0.5825 0.7599 0.8225
8 Nd 0.6943 0.2431 0.9375
9 Nd 0.6943 0.7569 0.4512
10 Nd 0.7599 0.0860 0.3261
11 Nd 0.7599 0.4337 0.6739
12 Nd 0.9374 0.7599 0.1775
13 Al 0.5000 0.0000 0.5000
14 Al 0.5000 0.5000 0.0000
15 Cd 0.0000 0.1399 0.1399
16 Cd 0.0000 0.8601 0.8601
17 Cd 0.1369 0.5000 0.6369
18 Cd 0.8631 0.5000 0.3631

Calculated values
Space-group type: Immm (71)
ΔH_f (0 K), eV per atom: -0.152



# 2
First-principles (PBE) data for a geometry-optimized SrHN structure, as listed in the Alexandria database.

Lattice parameters (Å, degrees): 7.5301 3.8724 6.0919 90.00 90.00 90.00
Atoms (fractional coordinates):
1 Sr 0.1495 0.2500 0.1675
2 Sr 0.3505 0.7500 0.6675
3 Sr 0.6495 0.2500 0.3325
4 Sr 0.8505 0.7500 0.8325
5 H 0.0479 0.2500 0.6115
6 H 0.4521 0.7500 0.1115
7 H 0.5479 0.2500 0.8885
8 H 0.9521 0.7500 0.3885
9 N 0.1094 0.2500 0.7648
10 N 0.3906 0.7500 0.2648
11 N 0.6094 0.2500 0.7352
12 N 0.8906 0.7500 0.2352

Calculated values
Space-group type: Pnma (62)
E_tot, eV per atom: -5.15